No. 1
A relaxed structure of Np3MnSe6, computed with GGA-PBE.

Calculated values
Fermi-level density of states	2.70	states/eV/atom
VASP energy	-0.577	Ry/atom
energy relative to the elements, uncorrected	-9.6	eV/f.u.

Unit cell a=11.2414 b=13.8586 c=6.8260 alpha=90.00 beta=90.00 gamma=90.00
Last column: nearest neighbours and their distance in Å.
Space group Cmc2_1 (No. 36)
Unique sites:
Np  0.0000  0.1033  0.0000  7 Se 2.89-3.03
Np  0.1775  0.3984  0.0836  7 Se 2.87-3.07
Mn  0.0000  0.3010  0.6339  4 Se 2.48-2.52
Se  0.0000  0.2769  0.2708  1 Mn 2.50
Se  0.0000  0.4663  0.7873  1 Mn 2.52
Se  0.1625  0.0290  0.2917  4 Np 2.87-2.95
Se  0.1728  0.2323  0.8105  1 Mn 2.48

No. 2
A relaxed structure of LiPr2Ni4Ge3, computed with GGA-PBE.

Calculated values
energy relative to the elements	-0.59	eV per atom
Fermi-level density of states	0.86	states/eV/atom
VASP energy	-0.399	Ry/atom

Unit cell a=4.1494 b=4.1494 c=9.8058 alpha=90.00 beta=90.00 gamma=90.00
Last column: nearest neighbours and their distance in Å.
Space group P-4m2 (No. 115)
Unique sites:
Li  0.0000  0.0000  0.0000  4 Ni 2.43
Pr  0.0000  0.5000  0.7489  6 Ge 3.17-3.22, 8 Ni 3.17-3.20, 2 Li 3.22
Ni  0.0000  0.0000  0.5000  4 Ge 2.42
Ni  0.0000  0.5000  0.1288  3 Ge 2.39-2.43, 2 Li 2.43
Ni  0.5000  0.5000  0.5000  4 Ge 2.42
Ge  0.0000  0.5000  0.3730  5 Ni 2.39-2.42
Ge  0.5000  0.5000  0.0000  4 Ni 2.43

No. 3
A relaxed structure of TaNiSb2, computed with GGA-PBE.

Calculated values
E above lowest polymorph	376	meV per atom
Fermi-level density of states	0.66	states/eV/atom
VASP energy	-0.453	Ry/atom
energy relative to the elements, uncorrected	1.2	eV/f.u.

Unit cell a=3.8307 b=5.0550 c=7.9755 alpha=90.00 beta=90.00 gamma=90.00
Last column: nearest neighbours and their distance in Å.
Space group Cmmm (No. 65)
Unique sites:
Ta  0.0000  0.0000  0.0000  4 Sb 2.89, 4 Ta 3.17
Ni  0.0000  0.0000  0.5000  4 Sb 2.65
Sb  0.0000  0.5000  0.2705  2 Ni 2.65, 2 Ta 2.89